# 1
Entry from Alexandria: a geometry-optimized BSb3Te structure (PBE).

Results
**Formation energy without anion corrections**: 681 meV per atom
**Distance to the lowest polymorph of the same formula**: 0.0 meV/atom

a = 4.9269 Å, b = 4.9269 Å, c = 4.9269 Å
α = 90.00°, β = 90.00°, γ = 90.00°
Closest atoms and distances in Å follow each position.
Sites, in units of the cell vectors:
Sb 0.5000 0.0000 0.0000  2 B 2.46
Sb 0.0000 0.5000 0.0000  2 B 2.46
Sb 0.0000 0.0000 0.5000  2 B 2.46
B 0.0000 0.0000 0.0000  6 Sb 2.46
Te 0.5000 0.5000 0.5000  12 Sb 3.48

=====

# 2
Entry from Alexandria: a geometry-optimized Ac2PmNd4 structure (PBE).

Results
**Distance to the lowest polymorph of the same formula**: 0.0 meV/atom

a = 8.4209 Å, b = 6.5190 Å, c = 9.9643 Å
α = 89.71°, β = 89.97°, γ = 104.96°
Closest atoms and distances in Å follow each position.
Sites, in units of the cell vectors:
Nd 0.9804 0.6961 0.6376  7 Nd 3.69-3.82, 3 Ac 3.73-3.77, 2 Pm 3.73-3.78
Nd 0.2605 0.1245 0.0743  6 Nd 3.67-3.84, 1 Pm 3.71, 5 Ac 3.77-3.88
Nd 0.0550 0.5596 0.0007  2 Pm 3.70-3.83, 6 Nd 3.72-3.81, 4 Ac 3.74-3.78
Nd 0.1267 0.4123 0.3588  3 Ac 3.72-3.74, 8 Nd 3.73-3.79, 1 Pm 3.75
Nd 0.7645 0.1149 0.5703  3 Pm 3.69-3.81, 6 Nd 3.71-3.82, 3 Ac 3.72-3.76
Nd 0.4088 0.8383 0.7825  5 Nd 3.71-3.84, 2 Pm 3.74-3.81, 5 Ac 3.77-3.80
Nd 0.3374 0.9833 0.4311  7 Nd 3.70-3.77, 3 Ac 3.76-3.80, 2 Pm 3.76-3.78
Nd 0.9179 0.8414 0.2874  7 Nd 3.67-3.75, 3 Ac 3.76-3.85, 2 Pm 3.78-3.79
Ac 0.1913 0.2665 0.7143  2 Pm 3.72-3.80, 9 Nd 3.74-3.78, 1 Ac 3.82
Ac 0.4787 0.6987 0.1446  7 Nd 3.73-3.85, 2 Pm 3.75-3.80, 3 Ac 3.80-3.87
Ac 0.7032 0.2707 0.2185  7 Nd 3.72-3.88, 2 Pm 3.77-3.82, 3 Ac 3.80-3.85
Ac 0.6297 0.4092 0.8519  6 Nd 3.73-3.87, 3 Pm 3.73-3.78, 3 Ac 3.82-3.87
Pm 0.8421 0.9778 0.9280  7 Nd 3.70-3.83, 5 Ac 3.72-3.82
Pm 0.5538 0.5564 0.5001  8 Nd 3.69-3.81, 4 Ac 3.73-3.80

=====

# 3
Entry from Alexandria: a geometry-optimized Mo3PbSe structure (PBE).

Results
**Formation energy without anion corrections**: 1045 meV per atom
**Distance to the lowest polymorph of the same formula**: 0.0 meV/atom

a = 4.6642 Å, b = 4.6642 Å, c = 4.6642 Å
α = 90.00°, β = 90.00°, γ = 90.00°
Closest atoms and distances in Å follow each position.
Sites, in units of the cell vectors:
Se 0.0000 0.0000 0.0000  6 Mo 2.33
Mo 0.0000 0.5000 0.0000  2 Se 2.33
Mo 0.0000 0.0000 0.5000  2 Se 2.33
Mo 0.5000 0.0000 0.0000  2 Se 2.33
Pb 0.5000 0.5000 0.5000  12 Mo 3.30

=====

# 4
Entry from Alexandria: a geometry-optimized NaAlTe2 structure (PBE).

Results
**Formation energy without anion corrections**: -491 meV per atom

a = 4.4263 Å, b = 4.4263 Å, c = 7.8309 Å
α = 90.00°, β = 90.00°, γ = 120.00°
Closest atoms and distances in Å follow each position.
Sites, in units of the cell vectors:
Na 0.0000 0.0000 0.9523  3 Te 2.96
Te 0.6667 0.3333 0.2942  3 Al 2.82
Te 0.3333 0.6667 0.7615  1 Al 2.46
Al 0.3333 0.6667 0.4469  1 Te 2.46

=====

# 5
Entry from Alexandria: a geometry-optimized ThSc4Ag5 structure (PBE).

Results
**Electronic total energy**: -4.933 eV/atom

a = 3.4309 Å, b = 3.4309 Å, c = 18.1166 Å
α = 90.00°, β = 90.00°, γ = 90.00°
Closest atoms and distances in Å follow each position.
Sites, in units of the cell vectors:
Sc 0.0000 0.0000 0.7855  8 Ag 2.93-2.97
Sc 0.0000 0.0000 0.4047  8 Ag 2.98
Sc 0.0000 0.0000 0.2145  8 Ag 2.93-2.97
Sc 0.0000 0.0000 0.5953  8 Ag 2.98
Ag 0.5000 0.5000 0.1239  4 Sc 2.93
Ag 0.5000 0.5000 0.6911  8 Sc 2.97-2.98
Ag 0.5000 0.5000 0.5000  8 Sc 2.98
Ag 0.5000 0.5000 0.3089  8 Sc 2.97-2.98
Ag 0.5000 0.5000 0.8761  4 Sc 2.93
Th 0.0000 0.0000 0.0000  8 Ag 3.31, 4 Th 3.43

=====

# 6
Entry from Alexandria: a geometry-optimized Mn3Tl2S4 structure (PBE).

Results
**Formation energy without anion corrections**: -419 meV per atom

a = 5.8420 Å, b = 5.8466 Å, c = 14.1540 Å
α = 84.08°, β = 78.09°, γ = 60.03°
Closest atoms and distances in Å follow each position.
Sites, in units of the cell vectors:
S 0.2225 0.6666 0.8864  3 Mn 2.30-2.31
S 0.9745 0.1666 0.3864  3 Mn 2.30-2.31
S 0.6391 0.8334 0.3864  3 Mn 2.30-2.31
S 0.5275 0.8334 0.6136  3 Mn 2.30-2.31
S 0.1109 0.6666 0.1136  3 Mn 2.30-2.31
S 0.8589 0.1666 0.6136  3 Mn 2.30-2.31
S 0.7755 0.3334 0.1136  3 Mn 2.30-2.31
S 0.8911 0.3334 0.8864  3 Mn 2.30-2.31
Tl 0.4258 0.0000 0.1484  8 S 3.40-3.70, 6 Mn 3.57
Tl 0.1758 0.5000 0.6484  8 S 3.40-3.70, 6 Mn 3.57
Tl 0.5742 0.0000 0.8516  8 S 3.40-3.70, 6 Mn 3.57
Tl 0.3242 0.5000 0.3516  8 S 3.40-3.70, 6 Mn 3.57
Mn 0.2499 0.0000 0.5002  4 S 2.30-2.31
Mn 0.9999 0.5000 0.0002  4 S 2.30-2.31
Mn 0.7500 0.5000 0.5000  4 S 2.31
Mn 0.7501 0.0000 0.4998  4 S 2.30-2.31
Mn 0.5001 0.5000 0.9998  4 S 2.30-2.31
Mn 0.0000 0.0000 0.0000  4 S 2.31

=====

# 7
Entry from Alexandria: a geometry-optimized SrMoWI2 structure (PBE).

Results
**Formation energy without anion corrections**: 1935 meV per atom

a = 6.2149 Å, b = 6.6262 Å, c = 6.2149 Å
α = 90.00°, β = 90.00°, γ = 90.00°
Closest atoms and distances in Å follow each position.
Sites, in units of the cell vectors:
I 0.0000 0.0000 0.5000  2 Sr 3.11
I 0.5000 0.0000 0.0000  2 Sr 3.11
W 0.5000 0.5000 0.5000  4 Mo 4.39, 8 I 4.54
Mo 0.0000 0.5000 0.0000  2 Sr 3.31
Sr 0.0000 0.0000 0.0000  4 I 3.11, 2 Mo 3.31

=====

# 8
Entry from Alexandria: a geometry-optimized MnAs2W structure (PBE).

Results
**Distance to the lowest polymorph of the same formula**: 89.6 meV/atom

a = 4.6792 Å, b = 3.2935 Å, c = 4.7978 Å
α = 69.47°, β = 90.00°, γ = 90.00°
Closest atoms and distances in Å follow each position.
Sites, in units of the cell vectors:
Mn 0.0000 0.4121 0.5489  5 As 2.43-2.69
W 0.5000 0.8362 0.7063  5 As 2.47-2.65
As 0.0000 0.7053 0.9494  3 Mn 2.43-2.69, 2 W 2.58
As 0.5000 0.5464 0.2954  3 W 2.47-2.65, 2 Mn 2.60

=====

# 9
Entry from Alexandria: a geometry-optimized BIrOs structure (PBE).

Results
**Electronic total energy**: -8.522 eV/atom

a = 2.8356 Å, b = 3.8815 Å, c = 3.8815 Å
α = 120.00°, β = 90.00°, γ = 90.00°
Closest atoms and distances in Å follow each position.
Sites, in units of the cell vectors:
Os 0.1667 0.3333 0.6667  3 B 2.24
Ir 0.6667 0.6667 0.3333  6 B 2.65, 6 Os 2.65, 2 Ir 2.84
B 0.1666 0.0000 0.0000  3 Os 2.24

=====

# 10
Entry from Alexandria: a geometry-optimized CaSi2Os structure (PBE).

Results
**Formation energy without anion corrections**: -258 meV per atom

a = 4.3574 Å, b = 4.3574 Å, c = 8.6441 Å
α = 90.00°, β = 90.00°, γ = 90.00°
Closest atoms and distances in Å follow each position.
Sites, in units of the cell vectors:
Si 0.5000 0.0000 0.3956  2 Os 2.36, 1 Si 2.52
Si 0.5000 0.0000 0.1044  2 Os 2.36, 1 Si 2.52
Si 0.0000 0.5000 0.8956  2 Os 2.36, 1 Si 2.52
Si 0.0000 0.5000 0.6044  2 Os 2.36, 1 Si 2.52
Os 0.5000 0.5000 0.5000  4 Si 2.36
Os 0.0000 0.0000 0.0000  4 Si 2.36
Ca 0.5000 0.0000 0.7500  10 Si 3.06-3.33, 4 Os 3.07
Ca 0.0000 0.5000 0.2500  10 Si 3.06-3.33, 4 Os 3.07

=====

# 11
Entry from Alexandria: a geometry-optimized MgRh2 structure (PBE).

Results
**Electronic total energy**: -5.319 eV/atom

a = 4.9435 Å, b = 4.9435 Å, c = 4.9435 Å
α = 105.61°, β = 105.61°, γ = 117.50°
Closest atoms and distances in Å follow each position.
Sites, in units of the cell vectors:
Mg 0.7500 0.7500 0.0000  2 Mg 2.56, 8 Rh 2.62
Mg 0.2500 0.2500 0.0000  2 Mg 2.56, 8 Rh 2.62
Rh 0.1476 0.3524 0.5000  1 Rh 2.49, 4 Mg 2.62
Rh 0.3524 0.8524 0.2049  1 Rh 2.49, 4 Mg 2.62
Rh 0.6476 0.1476 0.7951  1 Rh 2.49, 4 Mg 2.62
Rh 0.8524 0.6476 0.5000  1 Rh 2.49, 4 Mg 2.62

=====

# 12
Entry from Alexandria: a geometry-optimized LiZnCu2 structure (PBE).

Results
**Electronic total energy**: -2.957 eV/atom

a = 4.5024 Å, b = 4.5024 Å, c = 4.5024 Å
α = 130.97°, β = 131.07°, γ = 71.79°
Closest atoms and distances in Å follow each position.
Sites, in units of the cell vectors:
Li 0.5000 0.5000 0.0000  4 Zn 2.61, 8 Cu 2.61-2.64
Zn 0.2500 0.7500 0.5000  4 Li 2.61, 8 Cu 2.61-2.64
Cu 0.7500 0.2500 0.5000  4 Cu 2.61, 4 Li 2.61, 4 Zn 2.64
Cu 0.0001 0.0001 0.0000  4 Cu 2.61, 4 Zn 2.61, 4 Li 2.64